Density functional theory data (GGA-PBE) for a relaxed NaHfB4 crystal.

```
NaHfB4
1.0
-1.5544 2.7123 3.6527
1.5544 -2.7123 3.6527
1.5544 2.7123 -3.6527
B Hf Na
4 1 1
Cartesian
0.0000 1.7574 1.8946 B
1.5544 -0.9550 1.7581 B
0.0000 3.6673 1.8946 B
1.5544 0.9550 1.7581 B
0.0000 0.0000 0.0000 Hf
0.0000 0.0000 3.6527 Na
```

Properties
Uncorrected energy   -6.5720 eV per atom
Space-group type   Immm